Sm3As2N, optimized geometry, DFT GGA-PBE; formation energy without anion corrections = -8.10 eV per formula unit; V = 23.44 Å³ per atom; space group = C2/c (15); Fermi-level density of states = 1.6 states/eV/cell; spin magnetization = 0.000 μB per atom; mass density = 7.26 Mg/m³; DFT total energy = -79.8 eV for the cell shown
1.0
6.371 -2.969 0.000
6.371 2.969 0.000
-2.392 0.000 7.434
Sm As N
6 4 2
Direct
0.054 0.946 0.750
0.353 0.358 0.426
0.358 0.353 0.926
0.642 0.647 0.074
0.647 0.642 0.574
0.946 0.054 0.250
0.168 0.179 0.086
0.179 0.168 0.586
0.821 0.832 0.414
0.832 0.821 0.914
0.447 0.553 0.750
0.553 0.447 0.250



Sm3AsN, optimized geometry, DFT GGA-PBE; formation energy without anion corrections = -5.30 eV per formula unit; V = 24.45 Å³ per atom; space group = C2/c (15); Fermi-level density of states = 12.5 states/eV/cell; spin magnetization = 0.000 μB per atom; mass density = 7.33 Mg/m³; DFT total energy = -129.7 eV for the cell shown
1.0
6.928 -5.426 0.000
6.928 5.426 0.000
-1.287 0.000 6.504
Sm As N
12 4 4
Direct
0.022 0.180 0.954
0.149 0.658 0.539
0.180 0.022 0.454
0.309 0.478 0.085
0.342 0.851 0.961
0.478 0.309 0.585
0.522 0.691 0.415
0.658 0.149 0.039
0.691 0.522 0.915
0.820 0.978 0.546
0.851 0.342 0.461
0.978 0.820 0.046
0.145 0.362 0.705
0.362 0.145 0.205
0.638 0.855 0.795
0.855 0.638 0.295
0.082 0.918 0.750
0.247 0.753 0.250
0.753 0.247 0.750
0.918 0.082 0.250



Sm5As4N, optimized geometry, DFT GGA-PBE; formation energy without anion corrections = -14.03 eV per formula unit; V = 24.73 Å³ per atom; space group = I4 (79); Fermi-level density of states = 0.6 states/eV/cell; spin magnetization = 0.000 μB per atom; mass density = 7.16 Mg/m³; DFT total energy = -64.5 eV for the cell shown
1.0
-4.565 4.565 2.967
4.565 -4.565 2.967
4.565 4.565 -2.967
Sm As N
5 4 1
Direct
0.000 0.000 0.000
0.279 0.650 0.817
0.462 0.279 0.629
0.650 0.833 0.371
0.833 0.462 0.183
0.154 0.362 0.396
0.362 0.966 0.208
0.758 0.154 0.792
0.966 0.758 0.604
0.611 0.611 0.000



Sm8Te4As3N, optimized geometry, DFT GGA-PBE; formation energy without anion corrections = -23.13 eV per formula unit; V = 27.40 Å³ per atom; space group = R-3m (166); Fermi-level density of states = 6.0 states/eV/cell; spin magnetization = 0.000 μB per atom; mass density = 7.40 Mg/m³; DFT total energy = -95.7 eV for the cell shown
1.0
4.192 2.420 7.203
-4.192 2.420 7.203
0.000 -4.840 7.203
Sm Te As N
8 4 3 1
Direct
0.240 0.240 0.240
0.260 0.722 0.722
0.278 0.278 0.740
0.278 0.740 0.278
0.722 0.260 0.722
0.722 0.722 0.260
0.740 0.278 0.278
0.760 0.760 0.760
0.000 0.000 0.000
0.000 0.500 0.500
0.500 0.000 0.500
0.500 0.500 0.000
0.000 0.000 0.500
0.000 0.500 0.000
0.500 0.000 0.000
0.500 0.500 0.500